[1]
This record from Alexandria via LeMat-Bulk describes Tm2ScSi3Pt4 after structural relaxation. The functional is PBE.

a b c (Å): 4.0693 4.0693 10.9204
angles (deg): 90.00 90.00 90.00
Sites, in units of the cell vectors:
Tm 0.0000 0.5000 0.2311
Tm 0.5000 0.0000 0.7689
Sc 0.0000 0.0000 0.5000
Si 0.0000 0.5000 0.8693
Si 0.5000 0.0000 0.1307
Si 0.5000 0.5000 0.5000
Pt 0.0000 0.0000 0.0000
Pt 0.0000 0.5000 0.6533
Pt 0.5000 0.0000 0.3467
Pt 0.5000 0.5000 0.0000

## Properties
DOS(E_F)   0.77 states/eV per atom
E_form (uncorrected)   -10.9 eV per formula unit
SG   P-4m2 (115)



[2]
This record from Alexandria via LeMat-Bulk describes TmScSi2Pt5 after structural relaxation. The functional is PBE.

a b c (Å): 4.1026 4.1026 8.9791
angles (deg): 90.00 90.00 90.00
Sites, in units of the cell vectors:
Tm 0.0000 0.0000 0.0000
Sc 0.0000 0.0000 0.5000
Si 0.5000 0.5000 0.3732
Si 0.5000 0.5000 0.6268
Pt 0.0000 0.5000 0.2360
Pt 0.0000 0.5000 0.7640
Pt 0.5000 0.0000 0.2360
Pt 0.5000 0.0000 0.7640
Pt 0.5000 0.5000 0.0000

## Properties
DOS(E_F)   0.42 states/eV per atom
E_form (uncorrected)   -9.6 eV per formula unit
SG   P4/mmm (123)



[3]
This record from Alexandria via LeMat-Bulk describes ScU2Si3Pt4 after structural relaxation. The functional is PBE.

a b c (Å): 4.0505 4.0505 11.1290
angles (deg): 90.00 90.00 90.00
Sites, in units of the cell vectors:
Sc 0.0000 0.0000 0.0000
U 0.0000 0.5000 0.7356
U 0.5000 0.0000 0.2644
Si 0.0000 0.5000 0.3707
Si 0.5000 0.0000 0.6293
Si 0.5000 0.5000 0.0000
Pt 0.0000 0.0000 0.5000
Pt 0.0000 0.5000 0.1548
Pt 0.5000 0.0000 0.8452
Pt 0.5000 0.5000 0.5000

## Properties
DOS(E_F)   1.65 states/eV per atom
E_form (uncorrected)   -7.8 eV per formula unit
SG   P-4m2 (115)



[4]
This record from Alexandria via LeMat-Bulk describes Y2ScSi4Pt3 after structural relaxation. The functional is PBE.

a b c (Å): 4.1299 4.1299 10.6945
angles (deg): 90.00 90.00 90.00
Sites, in units of the cell vectors:
Y 0.0000 0.5000 0.2413
Y 0.5000 0.0000 0.7587
Sc 0.0000 0.0000 0.5000
Si 0.0000 0.0000 0.0000
Si 0.0000 0.5000 0.6543
Si 0.5000 0.0000 0.3457
Si 0.5000 0.5000 0.0000
Pt 0.0000 0.5000 0.8805
Pt 0.5000 0.0000 0.1195
Pt 0.5000 0.5000 0.5000

## Properties
DOS(E_F)   0.40 states/eV per atom
E_form (uncorrected)   -10.4 eV per formula unit
SG   P-4m2 (115)



[5]
This record from Alexandria via LeMat-Bulk describes Y2ScSi3Pt4 after structural relaxation. The functional is PBE.

a b c (Å): 4.1306 4.1306 10.7826
angles (deg): 90.00 90.00 90.00
Sites, in units of the cell vectors:
Y 0.0000 0.5000 0.2314
Y 0.5000 0.0000 0.7686
Sc 0.0000 0.0000 0.5000
Si 0.0000 0.5000 0.8710
Si 0.5000 0.0000 0.1290
Si 0.5000 0.5000 0.5000
Pt 0.0000 0.0000 0.0000
Pt 0.0000 0.5000 0.6510
Pt 0.5000 0.0000 0.3490
Pt 0.5000 0.5000 0.0000

## Properties
DOS(E_F)   0.80 states/eV per atom
E_form (uncorrected)   -11.1 eV per formula unit
SG   P-4m2 (115)



[6]
This record from Alexandria via LeMat-Bulk describes ScZnSi2Pt2 after structural relaxation. The functional is PBE.

a b c (Å): 4.1863 4.1863 6.3515
angles (deg): 90.00 90.00 120.00
Sites, in units of the cell vectors:
Sc 0.0000 0.0000 0.0000
Zn 0.0000 0.0000 0.5000
Si 0.3333 0.6667 0.7287
Si 0.6667 0.3333 0.2713
Pt 0.3333 0.6667 0.2907
Pt 0.6667 0.3333 0.7093

## Properties
DOS(E_F)   0.45 states/eV per atom
E_form (uncorrected)   -4.4 eV per formula unit
SG   P-3m1 (164)



Question: Look up the E_form (uncorrected) of the sixth one.
Answer: -4.4 eV per formula unit



Question: Among the records above, which one has the lowest DOS(E_F)?
Answer: Y2ScSi4Pt3